# 1
First-principles (GGA-PBEsol) data for a relaxed TlTc2Pt crystal, as listed in the Alexandria database.

Values from the calculation:
* energy of formation from the pure elements: 0.172 eV/atom
* calculated density: 15.4 g/cm3
* size of the total moment: 0.00 μB per formula unit

a b c (Å): 2.8531 2.8531 7.9079
angles (deg): 90.00 90.00 90.00
Last column: nearest neighbours and their distance in Å.
Fractional positions:
Tl 0.0000 0.0000 0.0000  4 Tl 2.85, 4 Tc 2.97, 4 Pt 3.00
Tc 0.0000 0.0000 0.5236  8 Tc 2.57-2.85, 4 Pt 2.79
Tc 0.5000 0.5000 0.7242  8 Tc 2.57-2.85
Pt 0.5000 0.5000 0.2799  4 Tc 2.79, 4 Pt 2.85, 4 Tl 3.00

# 2
First-principles (GGA-PBEsol) data for a relaxed TlCl crystal, as listed in the Alexandria database.

Values from the calculation:
* calculated density: 6.4 g/cm3
* size of the total moment: 0.00 μB per formula unit
* formation energy from raw total energies: -0.916 eV/atom

a b c (Å): 4.4538 4.4538 6.3026
angles (deg): 90.00 90.00 90.00
Last column: nearest neighbours and their distance in Å.
Fractional positions:
Tl 0.2500 0.2500 0.2476  6 Cl 3.12-3.18
Tl 0.7500 0.7500 0.7524  6 Cl 3.12-3.18
Cl 0.2500 0.2500 0.7427  6 Tl 3.12-3.18
Cl 0.7500 0.7500 0.2573  6 Tl 3.12-3.18

# 3
First-principles (GGA-PBEsol) data for a relaxed PtRhAu4 crystal, as listed in the Alexandria database.

Values from the calculation:
* energy of formation from the pure elements: 0.522 eV/atom
* calculated density: 17.5 g/cm3
* size of the total moment: 0.31 μB per formula unit

a b c (Å): 5.2615 5.2615 5.2615
angles (deg): 60.00 60.00 60.00
Last column: nearest neighbours and their distance in Å.
Fractional positions:
Pt 0.0000 0.0000 0.0000  12 Au 3.08, 4 Rh 3.22
Rh 0.2500 0.2500 0.2500  12 Au 3.08, 4 Pt 3.22
Au 0.1251 0.6250 0.6250  6 Au 2.63
Au 0.6250 0.1251 0.6250  6 Au 2.63
Au 0.6250 0.6250 0.1251  6 Au 2.63
Au 0.6250 0.6250 0.6250  6 Au 2.63

Question: Which formula does entry 1 have?
Answer: TlTc2Pt